# 1
MgSc2I | Alexandria via LeMat-Bulk | PBE | relaxed; total magnetic moment = 0.001 μB/cell; DOS(E_F) = 1.247 states/eV per atom; polymorph energy (0 for the lowest one) = 57 meV per atom
1.0
8.155 0.000 0.000
0.000 8.155 0.000
0.000 0.000 6.353
Mg Sc I
4 8 4
Direct
0.000 0.000 0.000 Mg
0.000 0.500 0.250 Mg
0.500 0.000 0.750 Mg
0.500 0.500 0.500 Mg
0.233 0.750 0.625 Sc
0.250 0.233 0.375 Sc
0.250 0.267 0.875 Sc
0.267 0.750 0.125 Sc
0.733 0.250 0.125 Sc
0.750 0.733 0.875 Sc
0.750 0.767 0.375 Sc
0.767 0.250 0.625 Sc
0.000 0.000 0.500 I
0.000 0.500 0.750 I
0.500 0.000 0.250 I
0.500 0.500 0.000 I

# 2
Mg2ScI6 | Alexandria via LeMat-Bulk | PBE | relaxed; total magnetic moment = 2.021 μB/cell; DOS(E_F) = 0.206 states/eV per atom; polymorph energy (0 for the lowest one) = 81 meV per atom
1.0
7.346 -6.537 0.000
7.346 6.537 0.000
-1.339 0.000 7.466
Mg Sc I
4 2 12
Direct
0.096 0.280 0.308 Mg
0.280 0.096 0.808 Mg
0.720 0.904 0.192 Mg
0.904 0.720 0.692 Mg
0.420 0.580 0.750 Sc
0.580 0.420 0.250 Sc
0.042 0.211 0.629 I
0.143 0.615 0.878 I
0.211 0.042 0.129 I
0.298 0.472 0.377 I
0.385 0.857 0.622 I
0.472 0.298 0.877 I
0.528 0.702 0.123 I
0.615 0.143 0.378 I
0.702 0.528 0.623 I
0.789 0.958 0.871 I
0.857 0.385 0.122 I
0.958 0.789 0.371 I

# 3
MgSc2I | Alexandria via LeMat-Bulk | PBE | relaxed; total magnetic moment = 3.266 μB/cell; DOS(E_F) = 0.953 states/eV per atom; polymorph energy (0 for the lowest one) = 128 meV per atom
1.0
3.467 0.000 0.000
-1.733 3.002 0.000
0.000 0.000 32.595
Mg Sc I
3 6 3
Direct
0.000 0.000 0.000 Mg
0.333 0.667 0.667 Mg
0.667 0.333 0.333 Mg
0.000 0.000 0.095 Sc
0.000 0.000 0.905 Sc
0.333 0.667 0.571 Sc
0.333 0.667 0.762 Sc
0.667 0.333 0.238 Sc
0.667 0.333 0.429 Sc
0.000 0.000 0.500 I
0.333 0.667 0.167 I
0.667 0.333 0.833 I

# 4
MgScSeI2 | Alexandria via LeMat-Bulk | PBE | relaxed; E = -2.778 eV per atom; total magnetic moment = 1.006 μB/cell; DOS(E_F) = 0.160 states/eV per atom
1.0
5.169 0.000 0.000
0.000 5.169 0.000
0.000 0.000 7.859
Mg Sc Se I
1 1 1 2
Direct
0.000 0.000 0.000 Mg
0.000 0.000 0.500 Sc
0.500 0.500 0.500 Se
0.000 0.500 0.000 I
0.500 0.000 0.000 I